No. 1
The following is a PBE calculation of crystalline Na2TiCr2Te6 at its relaxed geometry, from Alexandria.

- crystal system = monoclinic
- formation energy from raw total energies (meV per atom) = -538

Lattice parameters (Å, degrees): 6.8463 6.8463 8.0612 98.09 98.09 119.87
Sites, in units of the cell vectors:
Na  0.1648  0.8352  0.0000
Na  0.8352  0.1648  0.0000
Ti  0.0000  0.0000  0.5000
Cr  0.3320  0.6680  0.5000
Cr  0.6680  0.3320  0.5000
Te  0.0685  0.4062  0.7029
Te  0.2728  0.2728  0.2978
Te  0.4062  0.0685  0.7029
Te  0.5938  0.9315  0.2971
Te  0.7272  0.7272  0.7022
Te  0.9315  0.5938  0.2971

---

No. 2
The following is a PBE calculation of crystalline AgAu2Cl at its relaxed geometry, from Alexandria.

- crystal system = monoclinic
- energy relative to the lowest polymorph listed for this composition (eV per formula unit) = 0.19
- formation energy from raw total energies (meV per atom) = 10

Lattice parameters (Å, degrees): 4.8273 4.8273 6.6618 92.64 92.64 38.05
Sites, in units of the cell vectors:
Ag  0.0000  0.0000  0.0000
Au  0.2769  0.2769  0.8042
Au  0.5442  0.5442  0.6384
Cl  0.6161  0.6161  0.2844